The following is a PBE-GGA calculation of a relaxed LiZn crystal, from Alexandria via LeMat-Bulk.

a b c (Å): 9.5216 9.5216 2.7095
angles (deg): 90.00 90.00 120.00
Space group P6_3/mmc (No. 194)
Asymmetric unit:
Li 0.1515 0.3029 0.2500 [6 per cell]
Zn 0.1439 0.5720 0.2500 [6 per cell]

Results
E_form	0.119	eV per atom
total moment	0.000	μB per cell
density	3.39	Mg/m³

=====

The following is a PBE-GGA calculation of a relaxed LiZn crystal, from Alexandria via LeMat-Bulk.

a b c (Å): 5.2353 5.2353 5.2353
angles (deg): 90.00 90.00 90.00
Space group Fm-3m (No. 225)
Asymmetric unit:
Li 0.0000 0.0000 0.0000 [4 per cell]
Zn 0.0000 0.0000 0.5000 [4 per cell]

Results
E_form	0.114	eV per atom
total moment	0.000	μB per cell
density	3.35	Mg/m³

=====

The following is a PBE-GGA calculation of a relaxed LiZn crystal, from Alexandria via LeMat-Bulk.

a b c (Å): 3.0774 3.0774 6.4940
angles (deg): 90.00 90.00 90.00
Space group P4/nmm (No. 129, origin choice 2)
Asymmetric unit:
Li 0.2500 0.2500 0.1410 [2 per cell]
Zn 0.2500 0.2500 0.6208 [2 per cell]

Results
E_form	-0.133	eV per atom
total moment	0.000	μB per cell
density	3.91	Mg/m³

=====

The following is a PBE-GGA calculation of a relaxed Li4Zn crystal, from Alexandria via LeMat-Bulk.

a b c (Å): 6.0624 6.0624 6.0624
angles (deg): 90.00 90.00 90.00
Space group Im-3m (No. 229)
Asymmetric unit:
Li 0.2500 0.2500 0.2500 [8 per cell]
Zn 0.0000 0.0000 0.0000 [2 per cell]

Results
E_form	0.127	eV per atom
total moment	0.001	μB per cell
density	1.39	Mg/m³

=====

The following is a PBE-GGA calculation of a relaxed Li3Zn2 crystal, from Alexandria via LeMat-Bulk.

a b c (Å): 5.3748 5.3748 20.3397
angles (deg): 90.00 90.00 120.00
Space group R-3c (No. 167, hexagonal axes)
Asymmetric unit:
Li 0.0000 0.4979 0.2500 [18 per cell]
Zn 0.0000 0.0000 0.1889 [12 per cell]

Results
E_form	-0.046	eV per atom
total moment	0.000	μB per cell
density	2.97	Mg/m³

=====

The following is a PBE-GGA calculation of a relaxed Li7Zn3 crystal, from Alexandria via LeMat-Bulk.

a b c (Å): 8.3880 8.3880 5.8320
angles (deg): 90.00 90.00 120.00
Space group P6_3mc (No. 186)
Asymmetric unit:
Li 0.0499 0.5250 0.0000 [6 per cell]
Li 0.1255 0.2510 0.7381 [6 per cell]
Li 0.3333 0.6667 0.6834 [2 per cell]
Zn 0.2233 0.4467 0.3081 [6 per cell]

Results
E_form	-0.066	eV per atom
total moment	0.000	μB per cell
density	2.29	Mg/m³

=====

The following is a PBE-GGA calculation of a relaxed Li4Zn crystal, from Alexandria via LeMat-Bulk.

a b c (Å): 4.8964 4.8964 4.8964
angles (deg): 90.00 90.00 90.00
Space group Pm-3m (No. 221)
Asymmetric unit:
Li 0.0000 0.0000 0.0000 [1 per cell]
Li 0.0000 0.5000 0.5000 [3 per cell]
Zn 0.5000 0.5000 0.5000 [1 per cell]

Results
E_form	0.141	eV per atom
total moment	0.000	μB per cell
density	1.32	Mg/m³

=====

The following is a PBE-GGA calculation of a relaxed LiZn crystal, from Alexandria via LeMat-Bulk.

a b c (Å): 7.7258 7.7258 4.4409
angles (deg): 90.00 90.00 90.00
Space group I4/mmm (No. 139)
Asymmetric unit:
Li 0.0000 0.2999 0.0000 [8 per cell]
Zn 0.1658 0.1658 0.5000 [8 per cell]

Results
E_form	-0.114	eV per atom
total moment	0.000	μB per cell
density	3.63	Mg/m³

=====

The following is a PBE-GGA calculation of a relaxed LiZn11 crystal, from Alexandria via LeMat-Bulk.

a b c (Å): 10.6296 10.6296 6.8444
angles (deg): 90.00 90.00 90.00
Space group I4_1/amd (No. 141, origin choice 2)
Asymmetric unit:
Li 0.0000 0.2500 0.3750 [4 per cell]
Zn 0.0000 0.0000 0.0000 [8 per cell]
Zn 0.0000 0.2500 0.8750 [4 per cell]
Zn 0.1210 0.0431 0.6774 [32 per cell]

Results
E_form	-0.039	eV per atom
total moment	0.000	μB per cell
density	6.24	Mg/m³

=====

The following is a PBE-GGA calculation of a relaxed LiZn crystal, from Alexandria via LeMat-Bulk.

a b c (Å): 2.7602 2.7602 9.2466
angles (deg): 90.00 90.00 120.00
Space group P6_3/mmc (No. 194)
Asymmetric unit:
Li 0.0000 0.0000 0.0000 [2 per cell]
Zn 0.3333 0.6667 0.2500 [2 per cell]

Results
E_form	-0.087	eV per atom
total moment	0.000	μB per cell
density	3.94	Mg/m³

=====

The following is a PBE-GGA calculation of a relaxed Li4Zn3 crystal, from Alexandria via LeMat-Bulk.

a b c (Å): 2.9462 2.9462 25.7391
angles (deg): 90.00 90.00 90.00
Space group I4/mmm (No. 139)
Asymmetric unit:
Li 0.0000 0.0000 0.0679 [4 per cell]
Li 0.0000 0.0000 0.3501 [4 per cell]
Zn 0.0000 0.0000 0.2169 [4 per cell]
Zn 0.0000 0.0000 0.5000 [2 per cell]

Results
E_form	-0.116	eV per atom
total moment	0.000	μB per cell
density	3.33	Mg/m³

=====

The following is a PBE-GGA calculation of a relaxed LiZn crystal, from Alexandria via LeMat-Bulk.

a b c (Å): 8.6261 4.2958 6.3766
angles (deg): 90.00 90.00 90.00
Space group Pnma (No. 62)
Asymmetric unit:
Li 0.1202 0.2500 0.2440 [4 per cell]
Li 0.1368 0.7500 0.9942 [4 per cell]
Zn 0.1207 0.2500 0.7470 [4 per cell]
Zn 0.1269 0.7500 0.4985 [4 per cell]

Results
E_form	-0.181	eV per atom
total moment	0.000	μB per cell
density	4.07	Mg/m³

=====

The following is a PBE-GGA calculation of a relaxed Li3Zn4 crystal, from Alexandria via LeMat-Bulk.

a b c (Å): 9.3452 4.4389 5.0262
angles (deg): 90.00 98.31 90.00
Space group C2/m (No. 12)
Asymmetric unit:
Li 0.0000 0.0000 0.0000 [2 per cell]
Li 0.2115 0.5000 0.8497 [4 per cell]
Zn 0.0750 0.5000 0.2784 [4 per cell]
Zn 0.1406 0.0000 0.5638 [4 per cell]

Results
E_form	-0.148	eV per atom
total moment	0.000	μB per cell
density	4.55	Mg/m³

=====

The following is a PBE-GGA calculation of a relaxed LiZn4 crystal, from Alexandria via LeMat-Bulk.

a b c (Å): 4.4839 4.4839 4.4839
angles (deg): 90.00 90.00 90.00
Space group Pm-3m (No. 221)
Asymmetric unit:
Li 0.0000 0.0000 0.0000 [1 per cell]
Zn 0.0000 0.0000 0.5000 [3 per cell]
Zn 0.5000 0.5000 0.5000 [1 per cell]

Results
E_form	0.461	eV per atom
total moment	0.000	μB per cell
density	4.95	Mg/m³

=====

The following is a PBE-GGA calculation of a relaxed Li3Zn4 crystal, from Alexandria via LeMat-Bulk.

a b c (Å): 4.9734 4.9734 4.9230
angles (deg): 90.00 90.00 120.00
Space group P6/mmm (No. 191)
Asymmetric unit:
Li 0.0000 0.5000 0.0000 [3 per cell]
Zn 0.0000 0.0000 0.2536 [2 per cell]
Zn 0.3333 0.6667 0.5000 [2 per cell]

Results
E_form	-0.042	eV per atom
total moment	0.000	μB per cell
density	4.45	Mg/m³

=====

The following is a PBE-GGA calculation of a relaxed Li2ZrZn crystal, from Alexandria via LeMat-Bulk.

a b c (Å): 3.5614 4.4449 9.0529
angles (deg): 90.00 90.00 90.00
Space group Cmmm (No. 65)
Asymmetric unit:
Li 0.0000 0.0000 0.2178 [4 per cell]
Zr 0.0000 0.5000 0.5000 [2 per cell]
Zn 0.0000 0.5000 0.0000 [2 per cell]

Results
E_form	0.063	eV per atom
total moment	0.000	μB per cell
density	3.95	Mg/m³

=====

The following is a PBE-GGA calculation of a relaxed LiZr4Zn crystal, from Alexandria via LeMat-Bulk.

a b c (Å): 8.1648 8.1648 8.1648
angles (deg): 90.00 90.00 90.00
Space group F-43m (No. 216)
Asymmetric unit:
Li 0.0000 0.0000 0.0000 [4 per cell]
Zr 0.1245 0.1245 0.3755 [16 per cell]
Zn 0.2500 0.2500 0.7500 [4 per cell]

Results
E_form	0.444	eV per atom
total moment	0.000	μB per cell
density	5.34	Mg/m³

=====

The following is a PBE-GGA calculation of a relaxed LiZr3Zn4 crystal, from Alexandria via LeMat-Bulk.

a b c (Å): 3.1535 3.1535 14.2554
angles (deg): 90.00 90.00 90.00
Space group P4/mmm (No. 123)
Asymmetric unit:
Li 0.0000 0.0000 0.0000 [1 per cell]
Zr 0.0000 0.0000 0.2361 [2 per cell]
Zr 0.0000 0.0000 0.5000 [1 per cell]
Zn 0.5000 0.5000 0.1047 [2 per cell]
Zn 0.5000 0.5000 0.3684 [2 per cell]

Results
E_form	-0.230	eV per atom
total moment	0.000	μB per cell
density	6.35	Mg/m³

=====

The following is a PBE-GGA calculation of a relaxed LiZr2Zn16 crystal, from Alexandria via LeMat-Bulk.

a b c (Å): 8.8148 8.8148 12.9408
angles (deg): 90.00 90.00 120.00
Space group R3m (No. 160, hexagonal axes)
Asymmetric unit:
Li 0.0000 0.0000 0.0000 [3 per cell]
Zr 0.0000 0.0000 0.2429 [3 per cell]
Zr 0.0000 0.0000 0.5670 [3 per cell]
Zn 0.0000 0.0000 0.7961 [3 per cell]
Zn 0.9998 0.2998 0.9066 [18 per cell]
Zn 0.0145 0.5072 0.0568 [9 per cell]
Zn 0.1695 0.3390 0.7401 [9 per cell]
Zn 0.1704 0.3407 0.0900 [9 per cell]

Results
E_form	-0.149	eV per atom
total moment	0.000	μB per cell
density	7.07	Mg/m³

=====

The following is a PBE-GGA calculation of a relaxed LiZr3Zn8 crystal, from Alexandria via LeMat-Bulk.

a b c (Å): 5.2140 5.2140 25.4341
angles (deg): 90.00 90.00 120.00
Space group R3m (No. 160, hexagonal axes)
Asymmetric unit:
Li 0.0000 0.0000 0.0000 [3 per cell]
Zr 0.0000 0.0000 0.3727 [3 per cell]
Zr 0.0000 0.0000 0.4981 [3 per cell]
Zr 0.0000 0.0000 0.8757 [3 per cell]
Zn 0.0000 0.0000 0.1859 [3 per cell]
Zn 0.0000 0.0000 0.6865 [3 per cell]
Zn 0.0005 0.5003 0.9360 [9 per cell]
Zn 0.0016 0.5008 0.4362 [9 per cell]

Results
E_form	-0.228	eV per atom
total moment	4.733	μB per cell
density	6.69	Mg/m³

=====

The following is a PBE-GGA calculation of a relaxed Li3ZrZn9 crystal, from Alexandria via LeMat-Bulk.

a b c (Å): 4.8229 12.6136 6.7282
angles (deg): 90.00 110.99 90.00
Space group C2/m (No. 12)
Asymmetric unit:
Li 0.0000 0.0000 0.0000 [2 per cell]
Li 0.2500 0.2500 0.5000 [4 per cell]
Zr 0.0000 0.5000 0.5000 [2 per cell]
Zn 0.0000 0.5000 0.0000 [2 per cell]
Zn 0.1027 0.1071 0.7100 [8 per cell]
Zn 0.1783 0.3243 0.8468 [8 per cell]

Results
E_form	-0.150	eV per atom
total moment	0.000	μB per cell
density	6.09	Mg/m³

=====

The following is a PBE-GGA calculation of a relaxed Li2ZrZn crystal, from Alexandria via LeMat-Bulk.

a b c (Å): 9.7503 2.7550 5.3333
angles (deg): 90.00 97.65 90.00
Space group C2/m (No. 12)
Asymmetric unit:
Li 0.2372 0.0000 0.2228 [4 per cell]
Zr 0.0000 0.0000 0.5000 [2 per cell]
Zn 0.0000 0.5000 0.0000 [2 per cell]

Results
E_form	0.041	eV per atom
total moment	0.000	μB per cell
density	3.99	Mg/m³

=====

The following is a PBE-GGA calculation of a relaxed LiZrZn6 crystal, from Alexandria via LeMat-Bulk.

a b c (Å): 4.3239 4.3239 22.8516
angles (deg): 90.00 90.00 120.00
Space group R-3m (No. 166, hexagonal axes)
Asymmetric unit:
Li 0.0000 0.0000 0.0000 [3 per cell]
Zr 0.0000 0.0000 0.5000 [3 per cell]
Zn 0.0000 0.0000 0.1117 [6 per cell]
Zn 0.0000 0.0000 0.2506 [6 per cell]
Zn 0.0000 0.0000 0.3709 [6 per cell]

Results
E_form	-0.189	eV per atom
total moment	0.000	μB per cell
density	6.61	Mg/m³